*P*
Material: AlCoC2F
Method: DFT, PBE with a Hubbard U
State: relaxed

abc: 3.979 3.979 3.519
angles: 90.00 90.00 90.00
Sites, in units of the cell vectors:
Al (0.000, 0.000, 0.000)
Co (0.500, 0.500, 0.000)
C (0.000, 0.500, 0.500)
C (0.500, 0.000, 0.500)
F (0.500, 0.500, 0.500)

## Properties
The value obtained for the density of states at the Fermi level is 0.9201 states/eV per atom. The density is 3.84 g/cm3. As for the magnetization: 0.000 μB/atom.

*Q*
Material: AlCoC2F
Method: DFT, PBE with a Hubbard U
State: relaxed

abc: 3.984 3.984 3.657
angles: 90.00 90.00 90.00
Sites, in units of the cell vectors:
Al (0.000, 0.000, 0.000)
Co (0.500, 0.500, 0.500)
C (0.000, 0.500, 0.000)
C (0.500, 0.000, 0.000)
F (0.000, 0.000, 0.500)

## Properties
The value obtained for the density of states at the Fermi level is 0.5988 states/eV per atom. The density is 3.69 g/cm3. As for the magnetization: 0.455 μB/atom.

Among the structures shown above, *Q* is the most stable, with the second-best lying 1169 meV per atom higher.